[1]
An optimized crystal structure of BaSiOs2, computed with PBE.

```
4
Lattice="-0.221 -0.034 -3.064 -2.227 -2.110 0.184 -5.441 5.771 0.328" Properties=species:S:1:pos:R:3 pbc="T T T"
Si -2.584 0.371 -1.358
Ba -5.305 3.256 -1.194
Os -0.461 0.489 0.028
Os -2.260 2.397 0.136
```

=====

[2]
An optimized crystal structure of BaSiOs3, computed with PBE.

```
5
Lattice="-2.414 -4.455 0.253 1.901 -1.287 -4.525 4.038 -2.058 2.281" Properties=species:S:1:pos:R:3 pbc="T T T"
Ba 0.000 0.000 0.000
Os -1.207 -2.228 0.127
Os 2.019 -1.029 1.141
Os 0.950 -0.644 -2.262
Si 1.762 -3.900 -0.995
```

=====

[3]
An optimized crystal structure of BaSiOs2, computed with PBE.

```
4
Lattice="4.790 0.000 0.000 2.395 4.148 0.000 2.395 1.383 3.911" Properties=species:S:1:pos:R:3 pbc="T T T"
Os 0.000 0.000 0.000
Os 2.395 1.383 0.978
Si 7.185 4.148 2.933
Ba 4.790 2.765 1.955
```

=====

[4]
An optimized crystal structure of BaSiSnOs2, computed with PBE.

```
5
Lattice="-1.425 -3.185 3.097 5.030 -1.352 0.923 0.236 3.194 3.393" Properties=species:S:1:pos:R:3 pbc="T T T"
Si 0.000 0.000 0.000
Os 0.118 1.597 1.696
Os -0.712 -1.592 1.549
Ba 1.921 -0.672 3.706
Sn 2.515 -0.676 0.462
```

=====

no.,electronic total energy (eV/atom),formation energy (no corrections) (eV per atom)
1,-6.968,0.48
2,-4.313,3.89
3,-6.130,1.32
4,-6.010,0.75